Material: Ni4Pt5
Method: DFT, PBEsol
State: relaxed

Values from the calculation:
The total magnetization comes out at 0.476 μB/atom. The calculation puts the formation energy at -0.05 eV/atom.

a b c (Å): 8.402 3.723 7.971
angles (deg): 90.00 108.60 90.00
Space group C2/m (No. 12)
Asymmetric unit:
Ni  0.165  0.000  0.056 [4 per cell]
Ni  0.166  0.000  0.388 [4 per cell]
Pt  0.000  0.500  0.500 [2 per cell]
Pt  0.006  0.500  0.838 [4 per cell]
Pt  0.175  0.000  0.724 [4 per cell]